The following is a DFT calculation (GGA-PBE) of crystalline Zr2ScInH at its relaxed geometry.

Structure (CIF):
```
data_Zr2ScInH
_chemical_formula_sum 'Zr2 Sc1 In1 H1'
_cell_length_a 4.276
_cell_length_b 4.276
_cell_length_c 5.081
_cell_angle_alpha 90.00
_cell_angle_beta 90.00
_cell_angle_gamma 90.00
_symmetry_space_group_name_H-M 'P 4/m m m'
_symmetry_Int_Tables_number 123
_symmetry_space_group_name_Hall '-P 4 2'
loop_
_atom_site_label
_atom_site_type_symbol
_atom_site_fract_x
_atom_site_fract_y
_atom_site_fract_z
Zr1 Zr 0.000 0.500 0.000
Sc1 Sc 0.000 0.000 0.500
In1 In 0.500 0.500 0.500
H1 H 0.500 0.500 0.000
```

Calculated total energy, eV per atom: -6.135
Magnetic moment, μB/cell: 0.00
Density of states at the Fermi level, states/eV/atom: 0.988